This record from the Alexandria database describes BeSnO2 at its PBEsol-relaxed geometry. The functional is meta-GGA SCAN.

Results
symmetry	R-3m
formation energy from raw total energies	-5.83	eV/f.u.
E	-14.64	eV/atom
magnetic moment	0.00	μB/f.u.
ρ	4072	kg/m3

Cell and atoms, written as POSCAR:
```
BeSnO2
1.0
3.713 0.000 0.000
1.857 3.216 0.000
1.857 1.072 5.454
Be O Sn
1 2 1
direct
0.000 0.000 0.000 Be
0.088 0.088 0.735 O
0.912 0.912 0.265 O
0.500 0.500 0.500 Sn
```